<one>
Compound: Mg2As2Pb
Source: the Alexandria database
Functional: PBE
Structure: relaxed

Results
As for the crystal system: tetragonal.

extended XYZ file:
```
5
Lattice="4.293 0.000 0.000 0.000 4.293 0.000 2.146 2.146 6.537" Properties=species:S:1:pos:R:3 pbc="T T T"
As 2.146 2.146 1.640
As 4.293 4.293 4.897
Mg 4.293 2.146 3.269
Mg 2.146 4.293 3.269
Pb 0.000 0.000 0.000
```

---

<two>
Compound: Mg2As2Pb
Source: the Alexandria database
Functional: PBE
Structure: relaxed

Results
As for the crystal system: tetragonal.

extended XYZ file:
```
10
Lattice="8.236 0.000 0.000 0.000 8.236 0.000 0.000 0.000 3.303" Properties=species:S:1:pos:R:3 pbc="T T T"
Mg 2.980 1.138 1.651
Mg 5.256 7.097 1.651
Mg 7.097 2.980 1.651
Mg 1.138 5.256 1.651
As 6.937 5.416 0.000
As 1.299 2.819 0.000
As 5.416 1.299 0.000
As 2.819 6.937 0.000
Pb 0.000 0.000 0.000
Pb 4.118 4.118 0.000
```

---

Most stable: <one> (next structure +2.4 kJ/mol of atoms)